Record 1
# CsSmZnO3 PBE optimized geometry
data_CsSmZnO3
_space_group_name_H-M_alt 'C m c m'
_space_group_IT_number 63
_space_group_name_Hall '-C 2c 2'
_cell_length_a 3.632
_cell_length_b 13.182
_cell_length_c 9.349
_cell_angle_alpha 90.00
_cell_angle_beta 90.00
_cell_angle_gamma 90.00
loop_
_atom_site_label
_atom_site_fract_x
_atom_site_fract_y
_atom_site_fract_z
_atom_site_occupancy
Cs1 0.000 0.229 0.250 1
Sm1 0.000 0.500 0.000 1
Zn1 0.000 0.049 0.750 1
O1 0.000 0.107 0.560 1
O2 0.000 0.465 0.750 1
# - M_tot: 0.00 μB per formula unit
# - E_tot: -138.958 eV for the cell shown


Record 2
# Sm3InSe6 PBE optimized geometry
data_Sm3InSe6
_space_group_name_H-M_alt 'P n n m'
_space_group_IT_number 58
_space_group_name_Hall '-P 2 2n'
_cell_length_a 14.297
_cell_length_b 17.548
_cell_length_c 4.092
_cell_angle_alpha 90.00
_cell_angle_beta 90.00
_cell_angle_gamma 90.00
loop_
_atom_site_label
_atom_site_fract_x
_atom_site_fract_y
_atom_site_fract_z
_atom_site_occupancy
Sm1 0.041 0.224 0.000 1
Sm2 0.187 0.646 0.000 1
Sm3 0.249 0.894 0.500 1
In1 0.000 0.000 0.500 1
In2 0.000 0.500 0.500 1
Se1 0.023 0.396 0.000 1
Se2 0.095 0.913 0.000 1
Se3 0.112 0.117 0.500 1
Se4 0.112 0.748 0.500 1
Se5 0.183 0.285 0.500 1
Se6 0.192 0.520 0.500 1
# - M_tot: 0.00 μB per formula unit
# - E_tot: -213.127 eV for the cell shown


Record 3
# TbYBe2Ge2 PBE optimized geometry
data_TbYBe2Ge2
_space_group_name_H-M_alt 'P -3 m 1'
_space_group_IT_number 164
_space_group_name_Hall '-P 3 2"'
_cell_length_a 3.9257
_cell_length_b 3.9257
_cell_length_c 8.1319
_cell_angle_alpha 90.00
_cell_angle_beta 90.00
_cell_angle_gamma 120.00
loop_
_atom_site_label
_atom_site_fract_x
_atom_site_fract_y
_atom_site_fract_z
_atom_site_occupancy
Tb1 0.0000 0.0000 0.0000 1
Y1 0.0000 0.0000 0.5000 1
Be1 0.3333 0.6667 0.2501 1
Ge1 0.3333 0.6667 0.7499 1
# - M_tot: 0.01 μB per formula unit
# - E_tot: -31.883 eV for the cell shown


Record 4
# LaTlCoSe3 PBE optimized geometry
data_LaTlCoSe3
_space_group_name_H-M_alt 'C m c m'
_space_group_IT_number 63
_space_group_name_Hall '-C 2c 2'
_cell_length_a 4.203
_cell_length_b 14.675
_cell_length_c 11.439
_cell_angle_alpha 90.00
_cell_angle_beta 90.00
_cell_angle_gamma 90.00
loop_
_atom_site_label
_atom_site_fract_x
_atom_site_fract_y
_atom_site_fract_z
_atom_site_occupancy
La1 0.000 0.000 0.000 1
Tl1 0.000 0.250 0.250 1
Co1 0.000 0.470 0.750 1
Se1 0.000 0.064 0.750 1
Se2 0.000 0.370 0.583 1
# - M_tot: 3.00 μB per formula unit
# - Energy above the most stable polymorph in this dataset: 12.5 meV per atom
# - E_tot: -121.600 eV for the cell shown


Record 5
# Cs2PbWS6 PBE optimized geometry
data_Cs2PbWS6
_space_group_name_H-M_alt 'F m -3 m'
_space_group_IT_number 225
_space_group_name_Hall '-F 4 2 3'
_cell_length_a 10.565
_cell_length_b 10.565
_cell_length_c 10.565
_cell_angle_alpha 90.00
_cell_angle_beta 90.00
_cell_angle_gamma 90.00
loop_
_atom_site_label
_atom_site_fract_x
_atom_site_fract_y
_atom_site_fract_z
_atom_site_occupancy
Cs1 0.250 0.250 0.250 1
Pb1 0.000 0.000 0.000 1
W1 0.000 0.000 0.500 1
S1 0.000 0.000 0.276 1
# - M_tot: 0.60 μB per formula unit
# - E_tot: -190.965 eV for the cell shown


Record 6
# HfInCuTe2S PBE optimized geometry
data_HfInCuTe2S
_space_group_name_H-M_alt 'C m c m'
_space_group_IT_number 63
_space_group_name_Hall '-C 2c 2'
_cell_length_a 3.951
_cell_length_b 15.050
_cell_length_c 9.999
_cell_angle_alpha 90.00
_cell_angle_beta 90.00
_cell_angle_gamma 90.00
loop_
_atom_site_label
_atom_site_fract_x
_atom_site_fract_y
_atom_site_fract_z
_atom_site_occupancy
Hf1 0.000 0.000 0.000 1
In1 0.000 0.272 0.250 1
Cu1 0.000 0.473 0.750 1
Te1 0.000 0.362 0.550 1
S1 0.000 0.056 0.750 1
# - M_tot: 0.00 μB per formula unit
# - E_tot: -122.439 eV for the cell shown


Record 7
# LiZrAs PBE optimized geometry
data_LiZrAs
_space_group_name_H-M_alt 'F -4 3 m'
_space_group_IT_number 216
_space_group_name_Hall 'F -4 2 3'
_cell_length_a 6.179
_cell_length_b 6.179
_cell_length_c 6.179
_cell_angle_alpha 90.00
_cell_angle_beta 90.00
_cell_angle_gamma 90.00
loop_
_atom_site_label
_atom_site_fract_x
_atom_site_fract_y
_atom_site_fract_z
_atom_site_occupancy
Li1 0.000 0.000 0.000 1
Zr1 0.000 0.000 0.500 1
As1 0.250 0.250 0.250 1
# - M_tot: 0.01 μB per formula unit
# - Energy above the most stable polymorph in this dataset: 0.0 meV per atom
# - E_tot: -67.064 eV for the cell shown


Record 8
# HfAgAs2 PBE optimized geometry
data_HfAgAs2
_space_group_name_H-M_alt 'F -4 3 m'
_space_group_IT_number 216
_space_group_name_Hall 'F -4 2 3'
_cell_length_a 6.725
_cell_length_b 6.725
_cell_length_c 6.725
_cell_angle_alpha 90.00
_cell_angle_beta 90.00
_cell_angle_gamma 90.00
loop_
_atom_site_label
_atom_site_fract_x
_atom_site_fract_y
_atom_site_fract_z
_atom_site_occupancy
Hf1 0.000 0.000 0.000 1
Ag1 0.250 0.250 0.250 1
As1 0.000 0.000 0.500 1
As2 0.250 0.250 0.750 1
# - M_tot: 0.00 μB per formula unit
# - E_tot: -86.526 eV for the cell shown


Record 9
# LiNi2AuN PBE optimized geometry
data_LiNi2AuN
_space_group_name_H-M_alt 'P 4/m m m'
_space_group_IT_number 123
_space_group_name_Hall '-P 4 2'
_cell_length_a 3.731
_cell_length_b 3.731
_cell_length_c 4.073
_cell_angle_alpha 90.00
_cell_angle_beta 90.00
_cell_angle_gamma 90.00
loop_
_atom_site_label
_atom_site_fract_x
_atom_site_fract_y
_atom_site_fract_z
_atom_site_occupancy
Li1 0.000 0.000 0.000 1
Ni1 0.000 0.500 0.500 1
Au1 0.500 0.500 0.000 1
N1 0.000 0.000 0.500 1
# - M_tot: 0.15 μB per formula unit
# - E_tot: -25.671 eV for the cell shown


Record 10
# Gd2In2O5 PBE optimized geometry
data_Gd2In2O5
_space_group_name_H-M_alt 'P 4/m m m'
_space_group_IT_number 123
_space_group_name_Hall '-P 4 2'
_cell_length_a 4.050
_cell_length_b 4.050
_cell_length_c 8.794
_cell_angle_alpha 90.00
_cell_angle_beta 90.00
_cell_angle_gamma 90.00
loop_
_atom_site_label
_atom_site_fract_x
_atom_site_fract_y
_atom_site_fract_z
_atom_site_occupancy
Gd1 0.000 0.000 0.246 1
In1 0.500 0.500 0.000 1
In2 0.500 0.500 0.500 1
O1 0.000 0.000 0.500 1
O2 0.000 0.500 0.149 1
# - M_tot: 0.01 μB per formula unit
# - E_tot: -59.265 eV for the cell shown


Record 11
# Nd2ScP3 PBE optimized geometry
data_Nd2ScP3
_space_group_name_H-M_alt 'P -3 m 1'
_space_group_IT_number 164
_space_group_name_Hall '-P 3 2"'
_cell_length_a 4.0409
_cell_length_b 4.0409
_cell_length_c 9.8343
_cell_angle_alpha 90.00
_cell_angle_beta 90.00
_cell_angle_gamma 120.00
loop_
_atom_site_label
_atom_site_fract_x
_atom_site_fract_y
_atom_site_fract_z
_atom_site_occupancy
Nd1 0.3333 0.6667 0.3225 1
Sc1 0.0000 0.0000 0.0000 1
P1 0.0000 0.0000 0.5000 1
P2 0.3333 0.6667 0.8553 1
# - M_tot: 0.00 μB per formula unit
# - E_tot: -40.998 eV for the cell shown


Record 12
# Dy2YHo3P2Os PBE optimized geometry
data_Dy2YHo3P2Os
_space_group_name_H-M_alt 'A m m 2'
_space_group_IT_number 38
_space_group_name_Hall 'A 2 -2'
_cell_length_a 4.134
_cell_length_b 13.330
_cell_length_c 7.757
_cell_angle_alpha 90.00
_cell_angle_beta 90.00
_cell_angle_gamma 90.00
loop_
_atom_site_label
_atom_site_fract_x
_atom_site_fract_y
_atom_site_fract_z
_atom_site_occupancy
Dy1 0.000 0.205 0.000 1
Y1 0.000 0.000 0.385 1
Ho1 0.500 0.000 0.044 1
Ho2 0.500 0.126 0.671 1
P1 0.500 0.166 0.296 1
Os1 0.000 0.000 0.796 1
# - M_tot: 0.03 μB per formula unit
# - E_tot: -116.180 eV for the cell shown


Record 13
# AcHgPO PBE optimized geometry
data_AcHgPO
_space_group_name_H-M_alt 'P m c 21'
_space_group_IT_number 26
_space_group_name_Hall 'P 2c -2'
_cell_length_a 4.508
_cell_length_b 7.096
_cell_length_c 6.443
_cell_angle_alpha 90.00
_cell_angle_beta 90.00
_cell_angle_gamma 90.00
loop_
_atom_site_label
_atom_site_fract_x
_atom_site_fract_y
_atom_site_fract_z
_atom_site_occupancy
Ac1 0.000 0.235 0.000 1
Hg1 0.500 0.336 0.531 1
P1 0.000 0.201 0.497 1
O1 0.500 0.327 0.984 1
# - M_tot: 0.00 μB per formula unit
# - Energy above the most stable polymorph in this dataset: 237.6 meV per atom
# - E_tot: -40.392 eV for the cell shown


Record 14
# CsSmLu PBE optimized geometry
data_CsSmLu
_space_group_name_H-M_alt 'F -4 3 m'
_space_group_IT_number 216
_space_group_name_Hall 'F -4 2 3'
_cell_length_a 8.458
_cell_length_b 8.458
_cell_length_c 8.458
_cell_angle_alpha 90.00
_cell_angle_beta 90.00
_cell_angle_gamma 90.00
loop_
_atom_site_label
_atom_site_fract_x
_atom_site_fract_y
_atom_site_fract_z
_atom_site_occupancy
Cs1 0.000 0.000 0.000 1
Sm1 0.250 0.250 0.250 1
Lu1 0.000 0.000 0.500 1
# - M_tot: 3.28 μB per formula unit
# - E_tot: -24.983 eV for the cell shown


Record 15
# BeInRe2 PBE optimized geometry
data_BeInRe2
_space_group_name_H-M_alt 'F -4 3 m'
_space_group_IT_number 216
_space_group_name_Hall 'F -4 2 3'
_cell_length_a 6.193
_cell_length_b 6.193
_cell_length_c 6.193
_cell_angle_alpha 90.00
_cell_angle_beta 90.00
_cell_angle_gamma 90.00
loop_
_atom_site_label
_atom_site_fract_x
_atom_site_fract_y
_atom_site_fract_z
_atom_site_occupancy
Be1 0.000 0.000 0.000 1
In1 0.250 0.250 0.750 1
Re1 0.000 0.000 0.500 1
Re2 0.250 0.250 0.250 1
# - M_tot: 0.00 μB per formula unit
# - E_tot: -118.067 eV for the cell shown


Record 16
# MgScGa4Pt2 PBE optimized geometry
data_MgScGa4Pt2
_space_group_name_H-M_alt 'A m m 2'
_space_group_IT_number 38
_space_group_name_Hall 'A 2 -2'
_cell_length_a 6.854
_cell_length_b 4.187
_cell_length_c 9.655
_cell_angle_alpha 90.00
_cell_angle_beta 90.00
_cell_angle_gamma 90.00
loop_
_atom_site_label
_atom_site_fract_x
_atom_site_fract_y
_atom_site_fract_z
_atom_site_occupancy
Mg1 0.000 0.000 0.000 1
Sc1 0.500 0.000 0.843 1
Ga1 0.202 0.000 0.289 1
Ga2 0.298 0.000 0.553 1
Pt1 0.000 0.000 0.717 1
Pt2 0.500 0.000 0.128 1
# - M_tot: 0.02 μB per formula unit
# - E_tot: -75.818 eV for the cell shown


Record 17
# TaGaO3 PBE optimized geometry
data_TaGaO3
_space_group_name_H-M_alt 'P n m a'
_space_group_IT_number 62
_space_group_name_Hall '-P 2ac 2n'
_cell_length_a 5.643
_cell_length_b 7.966
_cell_length_c 5.623
_cell_angle_alpha 90.00
_cell_angle_beta 90.00
_cell_angle_gamma 90.00
loop_
_atom_site_label
_atom_site_fract_x
_atom_site_fract_y
_atom_site_fract_z
_atom_site_occupancy
Ta1 0.000 0.000 0.000 1
Ga1 0.001 0.250 0.500 1
O1 0.000 0.250 0.016 1
O2 0.241 0.008 0.741 1
# - M_tot: 0.00 μB per formula unit
# - E_tot: -161.614 eV for the cell shown


Record 18
# GaCuPt2 PBE optimized geometry
data_GaCuPt2
_space_group_name_H-M_alt 'F -4 3 m'
_space_group_IT_number 216
_space_group_name_Hall 'F -4 2 3'
_cell_length_a 6.189
_cell_length_b 6.189
_cell_length_c 6.189
_cell_angle_alpha 90.00
_cell_angle_beta 90.00
_cell_angle_gamma 90.00
loop_
_atom_site_label
_atom_site_fract_x
_atom_site_fract_y
_atom_site_fract_z
_atom_site_occupancy
Ga1 0.000 0.000 0.000 1
Cu1 0.250 0.250 0.250 1
Pt1 0.000 0.000 0.500 1
Pt2 0.250 0.250 0.750 1
# - M_tot: 0.00 μB per formula unit
# - E_tot: -79.468 eV for the cell shown


Record 19
# GdHo2Mg4Al2 PBE optimized geometry
data_GdHo2Mg4Al2
_space_group_name_H-M_alt 'A m m 2'
_space_group_IT_number 38
_space_group_name_Hall 'A 2 -2'
_cell_length_a 4.563
_cell_length_b 12.988
_cell_length_c 7.454
_cell_angle_alpha 90.00
_cell_angle_beta 90.00
_cell_angle_gamma 90.00
loop_
_atom_site_label
_atom_site_fract_x
_atom_site_fract_y
_atom_site_fract_z
_atom_site_occupancy
Gd1 0.000 0.000 0.000 1
Ho1 0.000 0.218 0.347 1
Mg1 0.000 0.000 0.562 1
Mg2 0.500 0.000 0.315 1
Mg3 0.500 0.125 0.689 1
Al1 0.500 0.168 0.065 1
# - M_tot: 0.00 μB per formula unit
# - E_tot: -59.022 eV for the cell shown


Record 20
# Y2AgBi2 PBE optimized geometry
data_Y2AgBi2
_space_group_name_H-M_alt 'I 4/m m m'
_space_group_IT_number 139
_space_group_name_Hall '-I 4 2'
_cell_length_a 5.570
_cell_length_b 5.570
_cell_length_c 10.624
_cell_angle_alpha 90.00
_cell_angle_beta 90.00
_cell_angle_gamma 90.00
loop_
_atom_site_label
_atom_site_fract_x
_atom_site_fract_y
_atom_site_fract_z
_atom_site_occupancy
Y1 0.000 0.500 0.250 1
Ag1 0.000 0.000 0.000 1
Bi1 0.000 0.000 0.357 1
# - M_tot: 0.01 μB per formula unit
# - Energy above the most stable polymorph in this dataset: 0.0 meV per atom
# - E_tot: -49.184 eV for the cell shown